The following is a PBE-GGA calculation of a geometry-optimized NaCo2Br6 structure, from Alexandria via LeMat-Bulk.

Computed properties:
crystal system	monoclinic
total energy	-121.8	eV/cell
formation energy without anion corrections	-0.543	eV per atom
volume	33.27	A^3/atom

Lattice parameters (Å, degrees): 13.685 12.904 6.934 90.00 101.96 90.00
Space group C2/c (No. 15)
Symmetry-distinct sites (fractional):
Na (0.000, 0.114, 0.250)
Co (0.205, 0.421, 0.288)
Br (0.120, 0.083, 0.653)
Br (0.131, 0.276, 0.123)
Br (0.146, 0.430, 0.593)